(1)
An optimized crystal structure of Cd2P2H10CCl2O11, computed with GGA-PBE.

Properties
Symmetry: P-1
Uncorrected energy in eV per atom: -5.2586
Theoretical density in g cm⁻³: 2.82

abc: 5.739 9.699 12.445
angles: 78.13 82.76 75.40
Fractional positions:
Cd (0.629, 0.077, 0.752)
Cd (0.371, 0.923, 0.248)
Cd (0.254, 0.598, 0.582)
Cd (0.746, 0.402, 0.418)
P (0.656, 0.741, 0.683)
P (0.344, 0.259, 0.317)
P (0.813, 0.399, 0.687)
P (0.187, 0.601, 0.313)
H (0.119, 0.200, 0.827)
H (0.881, 0.800, 0.173)
H (0.271, 0.134, 0.934)
H (0.729, 0.866, 0.066)
H (0.949, 0.921, 0.922)
H (0.051, 0.079, 0.078)
H (0.766, 0.056, 0.967)
H (0.234, 0.944, 0.033)
H (0.107, 0.053, 0.627)
H (0.893, 0.947, 0.373)
H (0.985, 0.922, 0.621)
H (0.015, 0.078, 0.379)
H (0.252, 0.252, 0.626)
H (0.748, 0.748, 0.374)
H (0.426, 0.174, 0.537)
H (0.574, 0.826, 0.463)
H (0.265, 0.728, 0.980)
H (0.735, 0.272, 0.020)
H (0.364, 0.828, 0.876)
H (0.636, 0.172, 0.124)
C (0.679, 0.551, 0.765)
C (0.321, 0.449, 0.235)
Cl (0.841, 0.527, 0.884)
Cl (0.159, 0.473, 0.116)
Cl (0.376, 0.535, 0.814)
Cl (0.624, 0.465, 0.186)
O (0.283, 0.175, 0.855)
O (0.717, 0.825, 0.145)
O (0.775, 0.973, 0.929)
O (0.225, 0.027, 0.071)
O (0.953, 0.025, 0.628)
O (0.047, 0.975, 0.372)
O (0.354, 0.155, 0.615)
O (0.646, 0.845, 0.385)
O (0.245, 0.828, 0.943)
O (0.755, 0.172, 0.057)
O (0.557, 0.844, 0.765)
O (0.443, 0.156, 0.235)
O (0.912, 0.750, 0.634)
O (0.088, 0.250, 0.366)
O (0.484, 0.754, 0.594)
O (0.516, 0.246, 0.406)
O (0.636, 0.422, 0.597)
O (0.364, 0.578, 0.403)
O (0.066, 0.414, 0.639)
O (0.934, 0.586, 0.361)
O (0.823, 0.257, 0.770)
O (0.177, 0.743, 0.230)

---

(2)
An optimized crystal structure of CdMoC2Cl, computed with GGA-PBE.

Properties
Formation energy (no corrections) in meV per atom: 2858
Symmetry: P4/mmm
Theoretical density in g cm⁻³: 5.13

abc: 4.110 5.135 4.110
angles: 90.00 90.00 90.00
Fractional positions:
Mo (0.500, 0.500, 0.500)
Cl (0.000, 0.500, 0.000)
C (0.000, 0.000, 0.500)
C (0.500, 0.000, 0.000)
Cd (0.000, 0.000, 0.000)

---

(3)
An optimized crystal structure of Cd2MoCCl, computed with GGA-PBE.

Properties
Formation energy (no corrections) in meV per atom: 698
Symmetry: P4/mmm
Theoretical density in g cm⁻³: 6.30

abc: 4.857 4.114 4.857
angles: 90.00 90.00 90.00
Fractional positions:
Mo (0.000, 0.500, 0.000)
Cl (0.500, 0.500, 0.500)
C (0.000, 0.000, 0.000)
Cd (0.000, 0.000, 0.500)
Cd (0.500, 0.000, 0.000)

---

- Which value of theoretical density does entry 3 give?
  6.30 g cm⁻³

---

- The lowest theoretical density belongs to which entry?
  Cd2P2H10CCl2O11